VASP calculation (PBE) on an optimized crystal structure of SrErAl2Ga2.

Values from the calculation:
Raw total energy = -3.749 eV/atom

abc: 4.4145 4.4145 8.3293
angles: 90.00 90.00 120.00
Space group P-3m1 (No. 164)
Inequivalent atoms, fractional coordinates:
Sr (0.0000, 0.0000, 0.0000) x1
Er (0.0000, 0.0000, 0.5000) x1
Al (0.3333, 0.6667, 0.7186) x2
Ga (0.3333, 0.6667, 0.2861) x2

=====

VASP calculation (PBE) on an optimized crystal structure of SmTiOs4.

Values from the calculation:
Raw total energy = -9.656 eV/atom

abc: 7.465 7.465 7.465
angles: 90.00 90.00 90.00
Space group F-43m (No. 216)
Inequivalent atoms, fractional coordinates:
Sm (0.000, 0.000, 0.000) x4
Ti (0.250, 0.250, 0.750) x4
Os (0.124, 0.124, 0.376) x16

=====

VASP calculation (PBE) on an optimized crystal structure of ReRhI3.

Values from the calculation:
ΔE_f (raw) = 120.2 kJ per mole of atoms
Distance to the lowest polymorph of the same formula = 0 meV per atom

abc: 5.415 5.415 5.415
angles: 90.00 90.00 90.00
Space group Pm-3m (No. 221)
Inequivalent atoms, fractional coordinates:
Re (0.000, 0.000, 0.000) x1
Rh (0.500, 0.500, 0.500) x1
I (0.000, 0.500, 0.500) x3

=====

VASP calculation (PBE) on an optimized crystal structure of CaAcGd4.

Values from the calculation:
Raw total energy = -10.220 eV/atom

abc: 9.650 9.650 9.650
angles: 90.00 90.00 90.00
Space group F-43m (No. 216)
Inequivalent atoms, fractional coordinates:
Ca (0.000, 0.000, 0.000) x4
Ac (0.250, 0.250, 0.250) x4
Gd (0.124, 0.124, 0.624) x16

=====

VASP calculation (PBE) on an optimized crystal structure of USn2Se6.

Values from the calculation:
ΔE_f (raw) = -48.1 kJ per mole of atoms

abc: 13.407 11.978 7.166
angles: 90.00 98.34 90.00
Space group C2/c (No. 15)
Inequivalent atoms, fractional coordinates:
U (0.000, 0.100, 0.250) x4
Sn (0.184, 0.422, 0.336) x8
Se (0.114, 0.401, 0.653) x8
Se (0.115, 0.075, 0.612) x8
Se (0.133, 0.249, 0.134) x8

=====

VASP calculation (PBE) on an optimized crystal structure of Na2AgTeF.

Values from the calculation:
ΔE_f (raw) = -95.3 kJ per mole of atoms
Distance to the lowest polymorph of the same formula = 238 meV per atom

abc: 4.302 4.302 6.340
angles: 90.00 90.00 90.00
Space group P4/mmm (No. 123)
Inequivalent atoms, fractional coordinates:
Na (0.000, 0.500, 0.000) x2
Ag (0.000, 0.000, 0.500) x1
Te (0.500, 0.500, 0.500) x1
F (0.500, 0.500, 0.000) x1

=====

VASP calculation (PBE) on an optimized crystal structure of Ti2WCl.

Values from the calculation:
ΔE_f (raw) = 46.0 kJ per mole of atoms
Distance to the lowest polymorph of the same formula = 0 meV per atom

abc: 6.858 6.858 5.691
angles: 90.00 90.00 90.00
Space group I-42d (No. 122)
Inequivalent atoms, fractional coordinates:
Ti (0.209, 0.250, 0.125) x8
W (0.000, 0.000, 0.500) x4
Cl (0.000, 0.000, 0.000) x4

=====

VASP calculation (PBE) on an optimized crystal structure of ZnTcRh.

Values from the calculation:
Distance to the lowest polymorph of the same formula = 0 meV per atom

abc: 2.747 2.747 11.421
angles: 90.00 90.00 90.00
Space group P4/nmm (No. 129, origin choice 2)
Inequivalent atoms, fractional coordinates:
Zn (0.250, 0.250, 0.089) x2
Tc (0.250, 0.250, 0.409) x2
Rh (0.250, 0.250, 0.750) x2

=====

VASP calculation (PBE) on an optimized crystal structure of Sb3PdPb.

Values from the calculation:
ΔE_f (raw) = 23.3 kJ per mole of atoms
Distance to the lowest polymorph of the same formula = 370 meV per atom

abc: 5.297 5.297 5.297
angles: 90.00 90.00 90.00
Space group Pm-3m (No. 221)
Inequivalent atoms, fractional coordinates:
Sb (0.000, 0.000, 0.500) x3
Pd (0.000, 0.000, 0.000) x1
Pb (0.500, 0.500, 0.500) x1

=====

VASP calculation (PBE) on an optimized crystal structure of Sm3YAs3.

Values from the calculation:
Raw total energy = -6.211 eV/atom

abc: 8.873 8.873 8.873
angles: 90.00 90.00 90.00
Space group P2_13 (No. 198)
Inequivalent atoms, fractional coordinates:
Sm (0.066, 0.434, 0.566) x4
Sm (0.182, 0.818, 0.318) x4
Sm (0.184, 0.184, 0.184) x4
Y (0.066, 0.566, 0.934) x4
As (0.001, 0.253, 0.873) x12